Zr3TiCr | PBE | optimized geometry

Properties
* relative energy among the computed polymorphs: 0 meV/atom
* DOS(E_F): 9.017 states/eV/cell
* mass density: 5.5 g/cm³
* space group: Pm-3m
* volume: 22.6 A^3/atom
* E_form: 641 meV per atom

a b c (Å): 4.832 4.832 4.832
angles (deg): 90.00 90.00 90.00
Fractional coordinates of all 5 atoms:
Cr (0.000, 0.000, 0.000)
Zr (0.000, 0.500, 0.000)
Zr (0.000, 0.000, 0.500)
Zr (0.500, 0.000, 0.000)
Ti (0.500, 0.500, 0.500)

ZrTiCr2 | PBE | optimized geometry

Properties
* relative energy among the computed polymorphs: 493 meV/atom
* DOS(E_F): 11.123 states/eV/cell
* mass density: 6.2 g/cm³
* space group: I-42d
* volume: 16.4 A^3/atom
* E_form: 662 meV per atom

a b c (Å): 6.917 6.917 5.608
angles (deg): 51.92 51.92 90.00
Last column: magnetic moment on the atom in μB.
Fractional coordinates of all 8 atoms:
Cr (0.608, 0.125, 0.250)  1.43
Cr (0.142, 0.625, 0.250)  1.44
Cr (0.375, 0.392, 0.750)  1.44
Cr (0.875, 0.858, 0.750)  1.45
Zr (0.000, 0.000, 0.000)  -0.17
Zr (0.750, 0.250, 0.500)  -0.18
Ti (0.500, 0.500, 0.000)  -0.27
Ti (0.250, 0.750, 0.500)  -0.27

ZrTiCr4 | PBE | optimized geometry

Properties
* relative energy among the computed polymorphs: 0 meV/atom
* DOS(E_F): 4.226 states/eV/cell
* mass density: 6.7 g/cm³
* space group: F-43m
* volume: 14.3 A^3/atom
* E_form: -72 meV per atom

a b c (Å): 4.954 4.954 4.954
angles (deg): 60.00 60.00 60.00
Fractional coordinates of all 6 atoms:
Zr (0.000, 0.000, 0.000)
Ti (0.250, 0.250, 0.250)
Cr (0.625, 0.625, 0.126)
Cr (0.625, 0.126, 0.625)
Cr (0.126, 0.625, 0.625)
Cr (0.625, 0.625, 0.625)

Zr3TiCr | PBE | optimized geometry

Properties
* relative energy among the computed polymorphs: 373 meV/atom
* DOS(E_F): 7.804 states/eV/cell
* mass density: 5.2 g/cm³
* space group: Pm-3m
* volume: 24.0 A^3/atom
* E_form: 1013 meV per atom

a b c (Å): 4.936 4.936 4.936
angles (deg): 90.00 90.00 90.00
Last column: magnetic moment on the atom in μB.
Fractional coordinates of all 5 atoms:
Cr (0.500, 0.500, 0.500)  3.73
Zr (0.000, 0.500, 0.000)  -0.16
Zr (0.000, 0.000, 0.500)  -0.11
Zr (0.500, 0.000, 0.000)  -0.35
Ti (0.000, 0.000, 0.000)  -0.07

ZrTiCr4 | PBE | optimized geometry

Properties
* relative energy among the computed polymorphs: 13 meV/atom
* DOS(E_F): 9.271 states/eV/cell
* mass density: 6.7 g/cm³
* space group: P-3m1
* volume: 14.3 A^3/atom
* E_form: -59 meV per atom

a b c (Å): 4.997 4.997 7.955
angles (deg): 90.00 90.00 120.00
Fractional coordinates of all 12 atoms:
Zr (0.667, 0.333, 0.935)
Zr (0.333, 0.667, 0.065)
Ti (0.333, 0.667, 0.444)
Ti (0.667, 0.333, 0.556)
Cr (0.000, 0.000, 0.500)
Cr (0.000, 0.000, 0.000)
Cr (0.831, 0.169, 0.260)
Cr (0.831, 0.662, 0.260)
Cr (0.338, 0.169, 0.260)
Cr (0.169, 0.831, 0.740)
Cr (0.169, 0.338, 0.740)
Cr (0.662, 0.831, 0.740)

ZrTi2Cr2 | PBE | optimized geometry

Properties
* relative energy among the computed polymorphs: 243 meV/atom
* DOS(E_F): 10.414 states/eV/cell
* mass density: 5.8 g/cm³
* space group: I4/mmm
* volume: 16.7 A^3/atom
* E_form: 453 meV per atom

a b c (Å): 3.609 3.609 6.901
angles (deg): 74.84 74.84 90.00
Fractional coordinates of all 5 atoms:
Cr (0.750, 0.250, 0.500)
Cr (0.250, 0.750, 0.500)
Zr (0.000, 0.000, 0.000)
Ti (0.388, 0.388, 0.223)
Ti (0.612, 0.612, 0.777)

What is the E_form in the first record? 641 meV per atom

What is the DOS(E_F) in the third record? 4.226 states/eV/cell

What is the DOS(E_F) in the first record? 9.017 states/eV/cell